# 1
# Dy3Tl4HgTe8 (GGA-PBE, relaxed)
# **Total magnetic moment**: 0.00 μB per formula unit
# **Formation energy from raw total energies**: -1210 kJ/mol of formula units
# **Energy**: -0.141 Ha/atom
data_Dy3Tl4HgTe8
_space_group_name_H-M_alt 'R -3 m'
_space_group_IT_number 166
_space_group_name_Hall '-R 3 2"'
_cell_length_a 8.9465
_cell_length_b 8.9465
_cell_length_c 23.8145
_cell_angle_alpha 90.00
_cell_angle_beta 90.00
_cell_angle_gamma 120.00
loop_
_atom_site_label
_atom_site_fract_x
_atom_site_fract_y
_atom_site_fract_z
Dy1 0.0000 0.5000 0.0000
Tl1 0.0000 0.0000 0.5000
Tl2 0.0000 0.5000 0.5000
Hg1 0.0000 0.0000 0.0000
Te1 0.0000 0.0000 0.2610
Te2 0.0041 0.5020 0.2606

# 2
# Ba2LiTb (GGA-PBE, relaxed)
# **Total magnetic moment**: 0.00 μB per formula unit
# **E above lowest polymorph**: 165.8 meV per atom
# **Energy**: -0.082 Ha/atom
# **Formation energy**: 0.37 eV per atom
data_Ba2LiTb
_space_group_name_H-M_alt 'R -3 m'
_space_group_IT_number 166
_space_group_name_Hall '-R 3 2"'
_cell_length_a 3.7945
_cell_length_b 3.7945
_cell_length_c 39.7821
_cell_angle_alpha 90.00
_cell_angle_beta 90.00
_cell_angle_gamma 120.00
loop_
_atom_site_label
_atom_site_fract_x
_atom_site_fract_y
_atom_site_fract_z
Ba1 0.0000 0.0000 0.0897
Li1 0.0000 0.0000 0.5000
Tb1 0.0000 0.0000 0.0000

# 3
# ScCuPd6Au2 (GGA-PBE, relaxed)
# **Total magnetic moment**: 0.00 μB per formula unit
# **Energy**: -0.185 Ha/atom
# **Formation energy**: -0.23 eV per atom
data_ScCuPd6Au2
_space_group_name_H-M_alt 'C 1 2/c 1'
_space_group_IT_number 15
_space_group_name_Hall '-C 2yc'
_cell_length_a 7.783
_cell_length_b 10.205
_cell_length_c 8.852
_cell_angle_alpha 90.00
_cell_angle_beta 108.48
_cell_angle_gamma 90.00
loop_
_atom_site_label
_atom_site_fract_x
_atom_site_fract_y
_atom_site_fract_z
Sc1 0.000 0.020 0.250
Cu1 0.000 0.239 0.750
Pd1 0.112 0.162 0.510
Pd2 0.119 0.419 0.609
Pd3 0.243 0.095 0.059
Au1 0.147 0.319 0.197

# 4
# AcFeReSi2 (GGA-PBE, relaxed)
# **Total magnetic moment**: 1.25 μB per formula unit
# **Formation energy from raw total energies**: -201 kJ/mol of formula units
# **Energy**: -0.279 Ha/atom
data_AcFeReSi2
_space_group_name_H-M_alt 'I -4 m 2'
_space_group_IT_number 119
_space_group_name_Hall 'I -4 -2'
_cell_length_a 4.176
_cell_length_b 4.176
_cell_length_c 10.745
_cell_angle_alpha 90.00
_cell_angle_beta 90.00
_cell_angle_gamma 90.00
loop_
_atom_site_label
_atom_site_fract_x
_atom_site_fract_y
_atom_site_fract_z
Ac1 0.000 0.000 0.000
Fe1 0.000 0.500 0.250
Re1 0.000 0.500 0.750
Si1 0.000 0.000 0.360

# 5
# NaIn2Pt2 (GGA-PBE, relaxed)
# **Total magnetic moment**: 0.00 μB per formula unit
# **E above lowest polymorph**: 0.0 meV per atom
# **Energy**: -0.156 Ha/atom
# **Formation energy**: -0.47 eV per atom
data_NaIn2Pt2
_space_group_name_H-M_alt 'P 4/m b m'
_space_group_IT_number 127
_space_group_name_Hall '-P 4 2ab'
_cell_length_a 8.146
_cell_length_b 8.146
_cell_length_c 2.979
_cell_angle_alpha 90.00
_cell_angle_beta 90.00
_cell_angle_gamma 90.00
loop_
_atom_site_label
_atom_site_fract_x
_atom_site_fract_y
_atom_site_fract_z
Na1 0.000 0.000 0.000
In1 0.149 0.351 0.500
Pt1 0.148 0.648 0.000

# 6
# PmMg4Tl (GGA-PBE, relaxed)
# **Total magnetic moment**: 0.00 μB per formula unit
# **Energy**: -0.083 Ha/atom
# **Formation energy**: -0.01 eV per atom
data_PmMg4Tl
_space_group_name_H-M_alt 'F -4 3 m'
_space_group_IT_number 216
_space_group_name_Hall 'F -4 2 3'
_cell_length_a 8.571
_cell_length_b 8.571
_cell_length_c 8.571
_cell_angle_alpha 90.00
_cell_angle_beta 90.00
_cell_angle_gamma 90.00
loop_
_atom_site_label
_atom_site_fract_x
_atom_site_fract_y
_atom_site_fract_z
Pm1 0.000 0.000 0.000
Mg1 0.125 0.125 0.375
Tl1 0.250 0.250 0.750

# 7
# RbPmCd10 (GGA-PBE, relaxed)
# **Total magnetic moment**: 0.00 μB per formula unit
# **Energy**: -0.049 Ha/atom
# **Formation energy**: -0.09 eV per atom
data_RbPmCd10
_space_group_name_H-M_alt 'P m m m'
_space_group_IT_number 47
_space_group_name_Hall '-P 2 2'
_cell_length_a 4.857
_cell_length_b 6.138
_cell_length_c 10.498
_cell_angle_alpha 90.00
_cell_angle_beta 90.00
_cell_angle_gamma 90.00
loop_
_atom_site_label
_atom_site_fract_x
_atom_site_fract_y
_atom_site_fract_z
Rb1 0.000 0.000 0.000
Pm1 0.000 0.500 0.500
Cd1 0.000 0.000 0.338
Cd2 0.000 0.500 0.173
Cd3 0.500 0.000 0.500
Cd4 0.500 0.264 0.272
Cd5 0.500 0.500 0.000

# 8
# MgZn6Ag6 (GGA-PBE, relaxed)
# **Total magnetic moment**: 0.00 μB per formula unit
# **Energy**: -0.077 Ha/atom
# **Formation energy**: -0.07 eV per atom
data_MgZn6Ag6
_space_group_name_H-M_alt 'P 6/m m m'
_space_group_IT_number 191
_space_group_name_Hall '-P 6 2'
_cell_length_a 5.1839
_cell_length_b 5.1839
_cell_length_c 9.3901
_cell_angle_alpha 90.00
_cell_angle_beta 90.00
_cell_angle_gamma 120.00
loop_
_atom_site_label
_atom_site_fract_x
_atom_site_fract_y
_atom_site_fract_z
Mg1 0.0000 0.0000 0.0000
Zn1 0.0000 0.5000 0.2456
Ag1 0.0000 0.0000 0.3517
Ag2 0.3333 0.6667 0.0000
Ag3 0.3333 0.6667 0.5000

# 9
# Pm4Ho4Tl (GGA-PBE, relaxed)
# **Total magnetic moment**: 0.00 μB per formula unit
# **Energy**: -0.164 Ha/atom
# **Formation energy**: -0.04 eV per atom
data_Pm4Ho4Tl
_space_group_name_H-M_alt 'I 4/m m m'
_space_group_IT_number 139
_space_group_name_Hall '-I 4 2'
_cell_length_a 10.707
_cell_length_b 10.707
_cell_length_c 4.948
_cell_angle_alpha 90.00
_cell_angle_beta 90.00
_cell_angle_gamma 90.00
loop_
_atom_site_label
_atom_site_fract_x
_atom_site_fract_y
_atom_site_fract_z
Pm1 0.000 0.333 0.000
Ho1 0.161 0.161 0.500
Tl1 0.000 0.000 0.000

# 10
# LaY5Ho2Er (GGA-PBE, relaxed)
# **Total magnetic moment**: 0.01 μB per formula unit
# **Energy**: -0.198 Ha/atom
# **Formation energy**: 0.28 eV per atom
data_LaY5Ho2Er
_space_group_name_H-M_alt 'I 4/m c m'
_space_group_IT_number 140
_space_group_name_Hall '-I 4 2c'
_cell_length_a 9.008
_cell_length_b 9.008
_cell_length_c 14.744
_cell_angle_alpha 90.00
_cell_angle_beta 90.00
_cell_angle_gamma 90.00
loop_
_atom_site_label
_atom_site_fract_x
_atom_site_fract_y
_atom_site_fract_z
La1 0.000 0.000 0.250
Y1 0.000 0.000 0.000
Y2 0.204 0.296 0.130
Ho1 0.112 0.388 0.500
Er1 0.000 0.500 0.250

# 11
# Tb5PmPr8 (GGA-PBE, relaxed)
# **Total magnetic moment**: 0.00 μB per formula unit
# **Energy**: -0.165 Ha/atom
# **Formation energy**: 0.24 eV per atom
data_Tb5PmPr8
_space_group_name_H-M_alt 'I -4'
_space_group_IT_number 82
_space_group_name_Hall 'I -4'
_cell_length_a 9.757
_cell_length_b 9.757
_cell_length_c 10.441
_cell_angle_alpha 90.00
_cell_angle_beta 90.00
_cell_angle_gamma 90.00
loop_
_atom_site_label
_atom_site_fract_x
_atom_site_fract_y
_atom_site_fract_z
Tb1 0.000 0.000 0.000
Tb2 0.108 0.204 0.427
Pm1 0.000 0.500 0.750
Pr1 0.070 0.326 0.099
Pr2 0.087 0.181 0.753

# 12
# Nd12SmY6 (GGA-PBE, relaxed)
# **Total magnetic moment**: 0.00 μB per formula unit
# **E above lowest polymorph**: 57.7 meV per atom
# **Energy**: -0.188 Ha/atom
# **Formation energy**: 0.19 eV per atom
data_Nd12SmY6
_space_group_name_H-M_alt 'R -3 m'
_space_group_IT_number 166
_space_group_name_Hall '-R 3 2"'
_cell_length_a 13.5808
_cell_length_b 13.5808
_cell_length_c 12.6777
_cell_angle_alpha 90.00
_cell_angle_beta 90.00
_cell_angle_gamma 120.00
loop_
_atom_site_label
_atom_site_fract_x
_atom_site_fract_y
_atom_site_fract_z
Nd1 0.0000 0.2565 0.0000
Nd2 0.0910 0.1820 0.7614
Sm1 0.0000 0.0000 0.5000
Y1 0.0433 0.5217 0.1211